Computed, not measured: a relaxed NdFeB crystal at the PBE level of DFT.

a b c (Å): 6.695 6.695 3.718
angles (deg): 90.00 90.00 120.00
Atoms (fractional coordinates):
B  0.842  0.842  0.000
Nd  0.578  0.000  0.500
Fe  0.000  0.000  0.500
Fe  0.333  0.667  0.000
Nd  0.422  0.422  0.500
Fe  0.667  0.333  0.000
B  0.158  0.000  0.000
Nd  0.000  0.578  0.500
B  0.000  0.158  0.000

Properties
distance to the lowest polymorph of the same formula = 0.501 eV per atom
electronic total energy = -0.45678 Ry per atom



Computed, not measured: a relaxed NdFeB4 crystal at the PBE level of DFT.

a b c (Å): 4.902 4.902 4.902
angles (deg): 142.63 113.40 78.94
Atoms (fractional coordinates):
B  0.907  0.244  0.663
Nd  0.000  0.000  0.000
B  0.419  0.756  0.663
Fe  0.500  0.500  0.000
B  0.581  0.244  0.337
B  0.093  0.756  0.337

Properties
distance to the lowest polymorph of the same formula = 0.221 eV per atom
electronic total energy = -0.48551 Ry per atom



Computed, not measured: a relaxed NdFeB crystal at the PBE level of DFT.

a b c (Å): 3.574 3.574 8.476
angles (deg): 90.00 90.00 120.00
Atoms (fractional coordinates):
Fe  0.667  0.333  0.250
Nd  0.000  0.000  0.000
Fe  0.333  0.667  0.750
B  0.333  0.667  0.250
B  0.667  0.333  0.750
Nd  0.000  0.000  0.500

Properties
distance to the lowest polymorph of the same formula = 0.031 eV per atom
electronic total energy = -0.49134 Ry per atom



Computed, not measured: a relaxed NdFe4B4 crystal at the PBE level of DFT.

a b c (Å): 7.051 7.051 3.805
angles (deg): 90.00 90.00 90.00
Atoms (fractional coordinates):
Fe  0.368  0.888  0.393
B  0.834  0.299  0.605
B  0.666  0.201  0.895
B  0.201  0.334  0.105
B  0.166  0.701  0.605
Fe  0.132  0.612  0.107
B  0.299  0.166  0.395
B  0.334  0.799  0.895
B  0.799  0.666  0.105
Fe  0.868  0.388  0.107
Nd  0.000  0.000  0.000
Fe  0.112  0.368  0.607
Nd  0.500  0.500  0.500
Fe  0.612  0.868  0.893
B  0.701  0.834  0.395
Fe  0.632  0.112  0.393
Fe  0.888  0.632  0.607
Fe  0.388  0.132  0.893

Properties
electronic total energy = -0.56014 Ry per atom



Computed, not measured: a relaxed NdFe12B6 crystal at the PBE level of DFT.

a b c (Å): 6.064 6.064 6.064
angles (deg): 104.31 104.31 104.31
Atoms (fractional coordinates):
B  0.314  0.769  0.769
Fe  0.131  0.500  0.869
B  0.769  0.314  0.769
Fe  0.188  0.456  0.456
B  0.231  0.686  0.231
Fe  0.812  0.544  0.544
Fe  0.131  0.869  0.500
B  0.769  0.769  0.314
Fe  0.500  0.869  0.131
Fe  0.456  0.188  0.456
B  0.686  0.231  0.231
B  0.231  0.231  0.686
Fe  0.869  0.500  0.131
Fe  0.869  0.131  0.500
Fe  0.544  0.544  0.812
Fe  0.456  0.456  0.188
Fe  0.500  0.131  0.869
Fe  0.544  0.812  0.544
Nd  0.000  0.000  0.000

Properties
electronic total energy = -0.57972 Ry per atom



Computed, not measured: a relaxed NdFeB4 crystal at the PBE level of DFT.

a b c (Å): 3.160 3.160 6.856
angles (deg): 90.00 90.00 120.00
Atoms (fractional coordinates):
Fe  0.000  0.000  0.000
Nd  0.000  0.000  0.500
B  0.667  0.333  0.811
B  0.333  0.667  0.811
B  0.333  0.667  0.189
B  0.667  0.333  0.189

Properties
distance to the lowest polymorph of the same formula = 0.000 eV per atom
electronic total energy = -0.50172 Ry per atom



Computed, not measured: a relaxed NdFeB crystal at the PBE level of DFT.

a b c (Å): 6.452 3.569 8.619
angles (deg): 90.00 90.00 90.00
Atoms (fractional coordinates):
Nd  0.979  0.250  0.185
Nd  0.021  0.750  0.815
B  0.685  0.250  0.938
B  0.315  0.750  0.062
Fe  0.372  0.250  0.975
Fe  0.128  0.750  0.475
B  0.185  0.250  0.562
B  0.815  0.750  0.438
Nd  0.521  0.750  0.685
Fe  0.628  0.750  0.025
Fe  0.872  0.250  0.525
Nd  0.479  0.250  0.315

Properties
distance to the lowest polymorph of the same formula = 0.000 eV per atom
electronic total energy = -0.49363 Ry per atom



Computed, not measured: a relaxed FeNi2B crystal at the PBE level of DFT.

a b c (Å): 3.790 3.790 3.790
angles (deg): 60.00 60.00 60.00
Atoms (fractional coordinates):
Fe  0.250  0.250  0.250
Ni  0.500  0.500  0.500
Ni  0.750  0.750  0.750
B  0.000  0.000  0.000

Properties
electronic total energy = -0.46980 Ry per atom